Record 1
12
Lattice="4.307 -4.225 0.000 4.307 4.225 0.000 -4.119 0.000 15.564" Properties=species:S:1:pos:R:3 comment="Cs2RbGe2I7 PBE-GGA relaxed" e_form_raw_ev_per_fu=-11.130 crystal_system=monoclinic rho_g_cm3=4.1 space_group="C2/m (12)" pbc="T T T"
Cs 0.010 0.000 5.596
Cs 4.485 0.000 9.968
Rb 0.000 0.000 0.000
Ge -0.040 0.000 12.498
Ge 4.535 0.000 3.066
I 2.105 2.129 2.922
I 0.082 0.000 9.515
I 2.390 2.129 12.643
I 4.307 0.000 0.000
I 2.105 -2.129 2.922
I 4.413 0.000 6.049
I 2.390 -2.129 12.643

=====

Record 2
12
Lattice="7.738 0.000 0.000 -3.869 6.701 0.000 0.000 0.000 12.400" Properties=species:S:1:pos:R:3 comment="CsRbGe2I8 PBE-GGA relaxed" e_form_raw_ev_per_fu=-7.595 crystal_system=trigonal rho_g_cm3=3.6 space_group="P-3 (147)" pbc="T T T"
Cs 0.000 0.000 0.000
Rb 0.000 0.000 6.200
Ge 0.000 4.468 9.623
Ge 3.869 2.234 2.777
I -2.511 4.492 3.498
I 1.234 2.281 3.498
I 0.000 4.468 12.288
I 2.592 0.071 8.901
I 1.277 6.630 3.498
I 3.869 2.234 0.112
I 2.635 4.421 8.901
I 6.380 2.209 8.901

=====

Record 3
18
Lattice="-5.083 5.083 8.624 5.083 -5.083 8.624 5.083 5.083 -8.624" Properties=species:S:1:pos:R:3 comment="CsRb2GeI5 PBE-GGA relaxed" e_form_raw_ev_per_fu=-9.714 crystal_system=tetragonal rho_g_cm3=3.8 space_group="I4/mcm (140)" pbc="T T T"
Cs 0.000 0.000 4.312
Cs 0.000 0.000 12.936
Rb 6.669 1.586 0.000
Rb 1.586 3.498 0.000
Rb 3.498 1.586 8.624
Rb -1.586 3.498 8.624
Ge 5.083 0.000 4.312
Ge 0.000 5.083 4.312
I 0.000 0.000 0.000
I 3.525 1.559 -2.474
I 3.525 -1.559 6.150
I 3.525 1.559 2.474
I 3.525 -1.559 11.098
I 0.000 0.000 8.624
I 1.559 6.642 -2.474
I 1.559 3.525 6.150
I 1.559 6.642 2.474
I 1.559 3.525 11.098

=====

Record 4
5
Lattice="5.433 0.000 0.000 0.000 5.433 0.000 0.000 0.000 7.012" Properties=species:S:1:pos:R:3 comment="CsGeSb2I PBE-GGA relaxed" e_form_raw_ev_per_fu=-0.068 crystal_system=tetragonal polymorph_energy_ev_per_atom=0.000 rho_g_cm3=4.6 space_group="P4/mmm (123)" pbc="T T T"
Cs 0.000 0.000 0.000
Ge 2.716 2.716 3.506
Sb 0.000 2.716 3.506
Sb 2.716 0.000 3.506
I 2.716 2.716 0.000